Entry from Alexandria: a relaxed V3IF crystal (PBE+U).

## Properties
Symmetry: No. 221
VASP energy: -0.340 Ry/atom

Unit cell a=4.767 b=4.767 c=4.767 alpha=90.00 beta=90.00 gamma=90.00
Each line ends with the local moment (μB).
Sites, in units of the cell vectors:
V: 0.000 0.500 0.000  3.34
V: 0.000 0.000 0.500  3.34
I: 0.500 0.500 0.500  0.07
F: 0.000 0.000 0.000  0.07
V: 0.500 0.000 0.000  3.34